# 1
A plane-wave DFT calculation with GGA-PBE was carried out for a relaxed structure of LaIr2Os.

Cell lengths 2.822, 3.945, 6.649 Å; angles 90.00, 90.00, 90.00 degrees
Space group Pmm2 (No. 25)
Unique sites:
La (0.000, 0.000, 0.000) (multiplicity 1)
Ir (0.000, 0.000, 0.482) (multiplicity 1)
Ir (0.500, 0.500, 0.711) (multiplicity 1)
Os (0.500, 0.500, 0.324) (multiplicity 1)

Calculated volume (Å³/atom): 18.5
Total energy (eV per atom): -8.343
Density of states at the Fermi level (states/eV/atom): 0.9871
Energy relative to the lowest polymorph listed for this composition (eV/atom): 0.081



# 2
A plane-wave DFT calculation with GGA-PBE was carried out for a relaxed structure of Er3Bi2Ir.

Cell lengths 6.070, 15.914, 3.700 Å; angles 90.00, 90.00, 90.00 degrees
Space group Cmmm (No. 65)
Unique sites:
Er (0.000, 0.000, 0.000) (multiplicity 2)
Er (0.000, 0.378, 0.500) (multiplicity 4)
Bi (0.000, 0.171, 0.500) (multiplicity 4)
Ir (0.000, 0.500, 0.000) (multiplicity 2)

Calculated volume (Å³/atom): 29.8
Total energy (eV per atom): -5.579
Density of states at the Fermi level (states/eV/atom): 0.6553



Look up the total energy of the first one.
-8.343 eV per atom